# 1
Material: Pm3ErTl
Method: DFT, GGA-PBE
State: optimized geometry

a = 13.0596 Å, b = 13.0596 Å, c = 4.8962 Å
α = 90.00°, β = 90.00°, γ = 158.42°
Fractional positions:
Pm  0.0534  0.9466  0.7500
Pm  0.2492  0.7508  0.7500
Pm  0.4473  0.5527  0.7500
Pm  0.5527  0.4473  0.2500
Pm  0.7508  0.2492  0.2500
Pm  0.9466  0.0534  0.2500
Er  0.1510  0.8490  0.2500
Er  0.8490  0.1510  0.7500
Tl  0.3468  0.6532  0.2500
Tl  0.6532  0.3468  0.7500

Computed properties:
The total energy comes out at -4.364 eV per atom. As for the total magnetization: 0.00 μB/f.u.



# 2
Material: TiHNO
Method: DFT, GGA-PBE
State: optimized geometry

a = 3.0324 Å, b = 3.0324 Å, c = 5.4596 Å
α = 106.29°, β = 106.29°, γ = 60.00°
Fractional positions:
Ti  0.0000  0.0000  0.0000
H  0.4707  0.4707  0.4092
N  0.4041  0.4041  0.2099
O  0.6036  0.6036  0.8126

Computed properties:
The total energy comes out at -7.720 eV per atom. As for the total magnetization: 0.00 μB/f.u.



Copy entry 1 word for word.
Material: Pm3ErTl
Method: DFT, GGA-PBE
State: optimized geometry

a = 13.0596 Å, b = 13.0596 Å, c = 4.8962 Å
α = 90.00°, β = 90.00°, γ = 158.42°
Fractional positions:
Pm  0.0534  0.9466  0.7500
Pm  0.2492  0.7508  0.7500
Pm  0.4473  0.5527  0.7500
Pm  0.5527  0.4473  0.2500
Pm  0.7508  0.2492  0.2500
Pm  0.9466  0.0534  0.2500
Er  0.1510  0.8490  0.2500
Er  0.8490  0.1510  0.7500
Tl  0.3468  0.6532  0.2500
Tl  0.6532  0.3468  0.7500

Computed properties:
The total energy comes out at -4.364 eV per atom. As for the total magnetization: 0.00 μB/f.u.



What is the total magnetization in the first record? 0.00 μB/f.u.